1.
The following is a PBE calculation of an optimized crystal structure of Ac6LaNi2, from Alexandria.

Results
- Spin magnetization: 0.00 μB/cell
- Density of states at the Fermi level: 9.28 states/eV/f.u.
- Formation energy: 0.0815 eV/atom

The structure in extended XYZ format:
```
9
Lattice="5.4191 0.0000 1.9485 2.2824 6.3968 2.1622 -0.5714 0.6703 10.0990" Properties=species:S:1:pos:R:3 pbc="T T T"
Ac 4.8725 5.2315 11.9784
Ac 2.2575 1.8357 2.2314
Ac 7.1671 5.3254 5.5970
Ac 3.1769 5.3221 8.1842
Ac -0.0370 1.7417 8.6128
Ac 3.9531 1.7451 6.0255
La 0.8555 3.5336 6.1306
Ni 2.1369 5.2727 11.0768
Ni 4.9932 1.7944 3.1329
```

---

2.
The following is a PBE calculation of an optimized crystal structure of AcLa2Ni, from Alexandria.

Results
- Spin magnetization: 0.00 μB/cell
- Excess energy over the best structure of this formula in the dataset: 0.082 eV per atom
- Density of states at the Fermi level: 5.34 states/eV/f.u.
- Formation energy: -0.0947 eV/atom

The structure in extended XYZ format:
```
4
Lattice="3.6824 0.0000 0.0000 0.0000 3.6824 0.0000 0.0000 0.0000 9.3477" Properties=species:S:1:pos:R:3 pbc="T T T"
Ni 1.8412 1.8412 0.0000
Ac 1.8412 1.8412 4.6738
La 0.0000 0.0000 7.7326
La 0.0000 0.0000 1.6150
```